LiZrAu3O4 | OQMD | PBE | optimized geometry; space group = P-43m (215); total DFT energy (no corrections) = -46.0 eV/cell
1.0
-0.673 5.470 0.806
-5.303 -0.409 -1.653
-1.564 -0.967 5.257
Au Li O Zr
3 1 4 1
Direct
0.500 0.500 0.000 Au
0.500 0.000 0.500 Au
0.000 0.500 0.500 Au
0.000 0.000 0.000 Li
0.283 0.283 0.283 O
0.717 0.717 0.283 O
0.717 0.283 0.717 O
0.283 0.717 0.717 O
0.500 0.500 0.500 Zr